(1)
Tl12Hg7As | Alexandria via LeMat-Bulk | PBE-GGA | optimized geometry; VASP energy = -1.741 eV/atom; total magnetization = 0.000 μB/f.u.; DOS at the Fermi energy = 8.36 states/eV/cell; ΔE_f = 0.016 eV/atom; theoretical density = 10.676 g/cm³; space-group type = R-3
1.0
8.539 0.000 2.992
-4.307 7.651 3.171
-0.075 0.000 9.335
Tl Hg As
12 7 1
direct
0.614 0.302 0.123 Tl
0.263 0.877 0.425 Tl
0.254 0.235 0.054 Tl
0.692 0.946 0.289 Tl
0.688 0.425 0.698 Tl
0.981 0.289 0.765 Tl
0.019 0.711 0.235 Tl
0.312 0.575 0.302 Tl
0.308 0.054 0.711 Tl
0.746 0.765 0.946 Tl
0.737 0.123 0.575 Tl
0.386 0.698 0.877 Tl
0.973 0.366 0.173 Hg
0.854 0.827 0.539 Hg
0.393 0.539 0.634 Hg
0.500 0.000 0.000 Hg
0.607 0.461 0.366 Hg
0.146 0.173 0.461 Hg
0.027 0.634 0.827 Hg
0.000 0.000 0.000 As

(2)
Pm12Si6Cl | Alexandria via LeMat-Bulk | PBE-GGA | optimized geometry; VASP energy = -5.308 eV/atom; total magnetization = 0.001 μB/f.u.; DOS at the Fermi energy = 17.15 states/eV/cell; theoretical density = 5.629 g/cm³; uncorrected formation energy = -0.498 eV per atom; space-group type = R-3
1.0
-1.783 2.917 7.717
6.902 -4.519 1.784
3.647 6.871 -3.274
Pm Si Cl
12 6 1
direct
0.817 0.578 0.438 Pm
0.438 0.817 0.578 Pm
0.578 0.438 0.817 Pm
0.183 0.422 0.562 Pm
0.562 0.183 0.422 Pm
0.422 0.562 0.183 Pm
0.075 0.960 0.327 Pm
0.040 0.673 0.925 Pm
0.673 0.925 0.040 Pm
0.925 0.040 0.673 Pm
0.960 0.327 0.075 Pm
0.327 0.075 0.960 Pm
0.700 0.872 0.375 Si
0.625 0.300 0.128 Si
0.128 0.625 0.300 Si
0.300 0.128 0.625 Si
0.375 0.700 0.872 Si
0.872 0.375 0.700 Si
0.000 0.000 0.000 Cl

(3)
PRu2W | Alexandria via LeMat-Bulk | PBE-GGA | optimized geometry; VASP energy = -9.164 eV/atom; total magnetization = 0.000 μB/f.u.; DOS at the Fermi energy = 3.22 states/eV/cell; ΔE_f = 0.065 eV/atom; theoretical density = 12.412 g/cm³; space-group type = I4/mmm
1.0
-1.907 1.907 3.833
1.907 -1.907 3.833
1.907 1.907 -3.833
P Ru W
1 2 1
direct
0.000 0.000 0.000 P
0.750 0.250 0.500 Ru
0.250 0.750 0.500 Ru
0.500 0.500 0.000 W

(4)
PmMgSn6 | Alexandria via LeMat-Bulk | PBE-GGA | optimized geometry; polymorph energy (0 for the lowest one) = 16.8 meV/atom; VASP energy = -4.045 eV/atom; total magnetization = 0.000 μB/f.u.; DOS at the Fermi energy = 2.78 states/eV/cell; ΔE_f = -0.250 eV/atom; theoretical density = 6.908 g/cm³; space-group type = P4/mmm
1.0
-3.678 2.578 1.181
-1.281 -3.236 3.076
5.352 4.463 6.924
Pm Mg Sn
1 1 6
direct
0.000 0.000 0.000 Pm
0.000 0.000 0.500 Mg
0.500 0.500 0.000 Sn
0.500 0.500 0.500 Sn
0.500 0.000 0.257 Sn
0.500 0.000 0.743 Sn
0.000 0.500 0.257 Sn
0.000 0.500 0.743 Sn

(5)
ThGeHAu | Alexandria via LeMat-Bulk | PBE-GGA | optimized geometry; VASP energy = -5.253 eV/atom; total magnetization = 0.000 μB/f.u.; DOS at the Fermi energy = 0.15 states/eV/cell; theoretical density = 11.642 g/cm³; space-group type = P3m1
1.0
-4.242 -0.969 -0.442
2.812 -0.979 -3.204
0.698 -3.874 1.797
Th Ge H Au
1 1 1 1
direct
0.905 0.811 0.787 Th
0.572 0.144 0.374 Ge
0.239 0.477 0.828 H
0.239 0.477 0.250 Au

(6)
FeCoOs | Alexandria via LeMat-Bulk | PBE-GGA | optimized geometry; polymorph energy (0 for the lowest one) = 179.0 meV/atom; VASP energy = -8.643 eV/atom; total magnetization = 4.099 μB/f.u.; DOS at the Fermi energy = 6.56 states/eV/cell; ΔE_f = 0.290 eV/atom; theoretical density = 13.130 g/cm³; space-group type = I4/mmm
1.0
2.754 0.000 0.000
0.000 2.754 0.000
-1.377 -1.377 10.175
Fe Co Os
2 2 2
direct
0.286 0.286 0.572 Fe
0.714 0.714 0.428 Fe
0.140 0.140 0.279 Co
0.860 0.860 0.721 Co
0.558 0.558 0.116 Os
0.442 0.442 0.884 Os

(7)
KNa2AgI4 | Alexandria via LeMat-Bulk | PBE-GGA | optimized geometry; VASP energy = -2.644 eV/atom; total magnetization = 0.000 μB/f.u.; DOS at the Fermi energy = 0.00 states/eV/cell; theoretical density = 3.851 g/cm³; uncorrected formation energy = -1.046 eV per atom; space-group type = Cmcm
1.0
4.655 0.000 0.000
-2.327 7.880 0.000
0.000 0.000 16.472
K Na Ag I
2 4 2 8
direct
0.131 0.261 0.750 K
0.869 0.739 0.250 K
0.376 0.752 0.556 Na
0.624 0.248 0.056 Na
0.624 0.248 0.444 Na
0.376 0.752 0.944 Na
0.849 0.698 0.750 Ag
0.151 0.302 0.250 Ag
0.263 0.526 0.114 I
0.737 0.474 0.614 I
0.737 0.474 0.886 I
0.263 0.526 0.386 I
0.000 0.000 0.500 I
0.000 0.000 0.000 I
0.454 0.909 0.750 I
0.546 0.091 0.250 I

(8)
Hf2NbInIr | Alexandria via LeMat-Bulk | PBE-GGA | optimized geometry; VASP energy = -6.533 eV/atom; total magnetization = 0.186 μB/f.u.; DOS at the Fermi energy = 10.92 states/eV/cell; ΔE_f = 1.782 eV/atom; theoretical density = 9.885 g/cm³; space-group type = P4/mmm
1.0
5.084 0.000 0.000
0.000 4.920 0.000
0.000 0.000 5.084
Nb Ir Hf In
1 1 2 1
direct
0.000 0.500 0.000 Nb
0.500 0.500 0.500 Ir
0.000 0.000 0.500 Hf
0.500 0.000 0.000 Hf
0.000 0.000 0.000 In

(9)
HgH2Pt | Alexandria via LeMat-Bulk | PBE-GGA | optimized geometry; polymorph energy (0 for the lowest one) = 180.3 meV/atom; VASP energy = -3.068 eV/atom; total magnetization = 0.000 μB/f.u.; DOS at the Fermi energy = 2.29 states/eV/cell; theoretical density = 12.696 g/cm³; space-group type = I-42d
1.0
4.908 0.000 0.000
0.000 4.908 0.000
2.454 2.454 4.319
H Hg Pt
4 2 2
direct
0.478 0.125 0.250 H
0.272 0.625 0.250 H
0.375 0.522 0.750 H
0.875 0.728 0.750 H
0.000 0.000 0.000 Hg
0.750 0.250 0.500 Hg
0.500 0.500 0.000 Pt
0.250 0.750 0.500 Pt

(10)
Y4Zr3 | Alexandria via LeMat-Bulk | PBE-GGA | optimized geometry; VASP energy = -7.111 eV/atom; total magnetization = 6.090 μB/f.u.; DOS at the Fermi energy = 15.27 states/eV/cell; ΔE_f = 0.246 eV/atom; theoretical density = 5.130 g/cm³; space-group type = P6/mmm
1.0
-3.047 3.343 4.104
-0.850 -6.043 -0.253
4.676 -0.831 4.148
Y Zr
4 3
direct
0.000 0.000 0.252 Y
0.000 0.000 0.748 Y
0.667 0.333 0.500 Y
0.333 0.667 0.500 Y
0.000 0.500 0.000 Zr
0.500 0.500 0.000 Zr
0.500 0.000 0.000 Zr

(11)
Hg2BiTe2 | Alexandria via LeMat-Bulk | PBE-GGA | optimized geometry; polymorph energy (0 for the lowest one) = 156.7 meV/atom; VASP energy = -1.971 eV/atom; total magnetization = 0.000 μB/f.u.; DOS at the Fermi energy = 2.61 states/eV/cell; theoretical density = 9.279 g/cm³; uncorrected formation energy = 0.183 eV per atom; space-group type = I4/mmm
1.0
-4.223 0.779 4.007
3.826 -1.254 4.277
0.888 4.108 4.442
Te Bi Hg
2 1 2
direct
0.750 0.250 0.500 Te
0.250 0.750 0.500 Te
0.000 0.000 0.000 Bi
0.347 0.347 0.305 Hg
0.653 0.653 0.695 Hg

Repeat the third record exactly.
PRu2W | Alexandria via LeMat-Bulk | PBE-GGA | optimized geometry; VASP energy = -9.164 eV/atom; total magnetization = 0.000 μB/f.u.; DOS at the Fermi energy = 3.22 states/eV/cell; ΔE_f = 0.065 eV/atom; theoretical density = 12.412 g/cm³; space-group type = I4/mmm
1.0
-1.907 1.907 3.833
1.907 -1.907 3.833
1.907 1.907 -3.833
P Ru W
1 2 1
direct
0.000 0.000 0.000 P
0.750 0.250 0.500 Ru
0.250 0.750 0.500 Ru
0.500 0.500 0.000 W